No. 1
CdGeSe3 PBE optimized geometry; symmetry = Pm-3m; crystal system = cubic
1.0
5.025 0.000 0.000
0.000 5.025 0.000
0.000 0.000 5.025
Cd Ge Se
1 1 3
Direct
0.000 0.000 0.000
0.500 0.500 0.500
0.000 0.500 0.500
0.500 0.000 0.500
0.500 0.500 0.000



No. 2
LaNi2W PBE optimized geometry; symmetry = P4/mmm; crystal system = tetragonal; calculated formation energy = 116 meV/atom
1.0
3.117 0.000 0.000
0.000 3.117 0.000
0.000 0.000 7.097
La Ni W
1 2 1
Direct
0.000 0.000 0.000
0.500 0.500 0.317
0.500 0.500 0.683
0.000 0.000 0.500



Excess energy over the best structure of this formula in the dataset list, top to bottom, in kJ per mole of atoms: 57.5, 13.6
Volume list, top to bottom, in Å³ per cell: 126.9, 68.9
DFT total energy list, top to bottom, in eV for the cell shown: -14.7, -29.0